(1)
{
  "formula": "BaCaTi2Pt",
  "functional": "GGA-PBE",
  "state": "relaxed",
  "cell": [[5.0879, 0.0000, 0.0000], [0.0000, 5.0879, 0.0000], [0.0000, 0.0000, 5.5860]],
  "species": ["Ba", "Ca", "Ti", "Ti", "Pt"],
  "fractional_positions": [[0.0000, 0.0000, 0.0000], [0.5000, 0.5000, 0.0000], [0.0000, 0.5000, 0.5000], [0.5000, 0.0000, 0.5000], [0.5000, 0.5000, 0.5000]],
  "dft_energy_ev_per_atom": -5.082
}

***

(2)
{
  "formula": "BaCa2TlPt",
  "functional": "GGA-PBE",
  "state": "relaxed",
  "cell": [[5.6101, 0.0000, 0.0000], [0.0000, 5.6101, 0.0000], [0.0000, 0.0000, 6.0938]],
  "species": ["Ba", "Ca", "Ca", "Tl", "Pt"],
  "fractional_positions": [[0.0000, 0.0000, 0.0000], [0.0000, 0.5000, 0.5000], [0.5000, 0.0000, 0.5000], [0.5000, 0.5000, 0.0000], [0.0000, 0.0000, 0.5000]],
  "dft_energy_ev_per_atom": -3.337,
  "de_polymorph_mev_per_atom": 0
}

***

(3)
{
  "formula": "BaCa2TlPt",
  "functional": "GGA-PBE",
  "state": "relaxed",
  "cell": [[5.6269, 0.0000, 0.0000], [0.0000, 5.6269, 0.0000], [0.0000, 0.0000, 5.4480]],
  "species": ["Ba", "Ca", "Ca", "Tl", "Pt"],
  "fractional_positions": [[0.0000, 0.0000, 0.0000], [0.0000, 0.5000, 0.5000], [0.5000, 0.0000, 0.5000], [0.5000, 0.5000, 0.0000], [0.5000, 0.5000, 0.5000]],
  "dft_energy_ev_per_atom": -3.278,
  "de_polymorph_mev_per_atom": 58
}

***

| no. | ΔE_f (eV/atom) |
| --- | --- |
| 1 | 0.069 |
| 2 | -0.470 |
| 3 | -0.412 |